No. 1
Computed, not measured: a relaxed structure of NaMn2CdBi at the PBE level of DFT.

Cell and atoms, written as CIF:
```
data_NaMn2CdBi
_cell_length_a 4.950
_cell_length_b 4.950
_cell_length_c 5.512
_cell_angle_alpha 90.00
_cell_angle_beta 90.00
_cell_angle_gamma 90.00
_symmetry_space_group_name_H-M 'P 4/m m m'
_symmetry_Int_Tables_number 123
_symmetry_space_group_name_Hall '-P 4 2'
loop_
_atom_site_label
_atom_site_type_symbol
_atom_site_fract_x
_atom_site_fract_y
_atom_site_fract_z
Na1 Na 0.000 0.000 0.000
Mn1 Mn 0.000 0.500 0.500
Cd1 Cd 0.500 0.500 0.000
Bi1 Bi 0.000 0.000 0.500
```

Values from the calculation:
For the calculated formation energy, the calculation gives 1.449 eV/atom.


No. 2
Computed, not measured: a relaxed structure of Ca3W at the PBE level of DFT.

Cell and atoms, written as CIF:
```
data_Ca3W
_cell_length_a 4.500
_cell_length_b 4.582
_cell_length_c 11.170
_cell_angle_alpha 90.00
_cell_angle_beta 90.00
_cell_angle_gamma 90.00
_symmetry_space_group_name_H-M 'C m m m'
_symmetry_Int_Tables_number 65
_symmetry_space_group_name_Hall '-C 2 2'
loop_
_atom_site_label
_atom_site_type_symbol
_atom_site_fract_x
_atom_site_fract_y
_atom_site_fract_z
Ca1 Ca 0.000 0.000 0.000
Ca2 Ca 0.000 0.500 0.300
W1 W 0.000 0.000 0.500
```

Values from the calculation:
For the energy above the most stable polymorph in this dataset, the calculation gives 0.340 eV/atom. For the calculated formation energy, the calculation gives 0.732 eV/atom.


No. 3
Computed, not measured: a relaxed structure of CdHgTe2 at the PBE level of DFT.

Cell and atoms, written as CIF:
```
data_CdHgTe2
_cell_length_a 13.428
_cell_length_b 4.373
_cell_length_c 4.371
_cell_angle_alpha 90.00
_cell_angle_beta 108.93
_cell_angle_gamma 90.00
_symmetry_space_group_name_H-M 'C 1 2/m 1'
_symmetry_Int_Tables_number 12
loop_
_symmetry_equiv_pos_as_xyz
'x,y,z'
'-x,-y,-z'
'-x,y,-z'
'x,-y,z'
'x+1/2,y+1/2,z'
'-x+1/2,-y+1/2,-z'
'-x+1/2,y+1/2,-z'
'x+1/2,-y+1/2,z'
loop_
_atom_site_label
_atom_site_type_symbol
_atom_site_fract_x
_atom_site_fract_y
_atom_site_fract_z
Cd1 Cd 0.000 0.000 0.000
Hg1 Hg 0.000 0.500 0.500
Te1 Te 0.243 0.000 0.243
```

Values from the calculation:
The value obtained for the formation energy from raw total energies is 0.21 kJ per mole of atoms. For the energy above the most stable polymorph in this dataset, the calculation gives 0.314 eV/atom.


No. 4
Computed, not measured: a relaxed structure of Nd2Ho2Se5 at the PBE level of DFT.

Cell and atoms, written as CIF:
```
data_Nd2Ho2Se5
_cell_length_a 14.855
_cell_length_b 7.786
_cell_length_c 7.734
_cell_angle_alpha 90.00
_cell_angle_beta 90.00
_cell_angle_gamma 90.00
_symmetry_space_group_name_H-M 'C m c e'
_symmetry_Int_Tables_number 64
_symmetry_space_group_name_Hall '-C 2ac 2'
loop_
_atom_site_label
_atom_site_type_symbol
_atom_site_fract_x
_atom_site_fract_y
_atom_site_fract_z
Nd1 Nd 0.198 0.000 0.000
Ho1 Ho 0.000 0.151 0.343
Se1 Se 0.000 0.000 0.000
Se2 Se 0.134 0.158 0.654
```

Values from the calculation:
The value obtained for the formation energy from raw total energies is -168.72 kJ per mole of atoms.


No. 5
Computed, not measured: a relaxed structure of Ca2Cu2Ru at the PBE level of DFT.

Cell and atoms, written as CIF:
```
data_Ca2Cu2Ru
_cell_length_a 6.726
_cell_length_b 6.726
_cell_length_c 4.384
_cell_angle_alpha 90.00
_cell_angle_beta 90.00
_cell_angle_gamma 90.00
_symmetry_space_group_name_H-M 'P 4/m b m'
_symmetry_Int_Tables_number 127
_symmetry_space_group_name_Hall '-P 4 2ab'
loop_
_atom_site_label
_atom_site_type_symbol
_atom_site_fract_x
_atom_site_fract_y
_atom_site_fract_z
Ca1 Ca 0.183 0.317 0.000
Cu1 Cu 0.130 0.630 0.500
Ru1 Ru 0.000 0.000 0.500
```

Values from the calculation:
For the calculated formation energy, the calculation gives 0.133 eV/atom.


No. 6
Computed, not measured: a relaxed structure of La2PuGa6 at the PBE level of DFT.

Cell and atoms, written as CIF:
```
data_La2PuGa6
_cell_length_a 7.4561
_cell_length_b 7.4561
_cell_length_c 4.3730
_cell_angle_alpha 90.00
_cell_angle_beta 90.00
_cell_angle_gamma 120.00
_symmetry_space_group_name_H-M 'P 6/m m m'
_symmetry_Int_Tables_number 191
_symmetry_space_group_name_Hall '-P 6 2'
loop_
_atom_site_label
_atom_site_type_symbol
_atom_site_fract_x
_atom_site_fract_y
_atom_site_fract_z
La1 La 0.3333 0.6667 0.0000
Pu1 Pu 0.0000 0.0000 0.0000
Ga1 Ga 0.0000 0.3313 0.5000
```

Values from the calculation:
For the calculated formation energy, the calculation gives -0.559 eV/atom.